# 1
DFT (PBE-GGA) results for an optimized crystal structure of LiCdTeBr.

Results
**Total magnetization**: 0.000 μB/f.u.
**Space-group type**: Cm, No. 8
**DFT total energy**: -11.30 eV/cell
**Crystal system**: monoclinic

Cell and atoms, written as CIF:
```
data_LiCdTeBr
_cell_length_a 4.5680
_cell_length_b 4.5680
_cell_length_c 7.6671
_cell_angle_alpha 107.34
_cell_angle_beta 107.34
_cell_angle_gamma 59.99
_space_group_name_H-M_alt 'P 1'
_space_group_IT_number 1
_space_group_name_Hall 'P 1'
loop_
_atom_site_label
_atom_site_type_symbol
_atom_site_fract_x
_atom_site_fract_y
_atom_site_fract_z
Li1 Li 0.0000 0.0000 0.0000
Cd1 Cd 0.4952 0.4952 0.4828
Te1 Te 0.8709 0.8709 0.6099
Br1 Br 0.3629 0.3629 0.0885
```

=====

# 2
DFT (PBE-GGA) results for an optimized crystal structure of Pa2AlRe2.

Results
**Energy of formation from the pure elements**: -0.21 eV per atom
**Total magnetization**: 0.000 μB/f.u.
**Energy above the lowest structure with this stoichiometry**: 0.0000 eV per atom
**Space-group type**: C2/c, No. 15
**Crystal system**: monoclinic

Cell and atoms, written as CIF:
```
data_Pa2AlRe2
_cell_length_a 5.6962
_cell_length_b 5.6962
_cell_length_c 8.2249
_cell_angle_alpha 107.25
_cell_angle_beta 107.25
_cell_angle_gamma 55.42
_space_group_name_H-M_alt 'P 1'
_space_group_IT_number 1
_space_group_name_Hall 'P 1'
loop_
_atom_site_label
_atom_site_type_symbol
_atom_site_fract_x
_atom_site_fract_y
_atom_site_fract_z
Pa1 Pa 0.0042 0.7002 0.8565
Pa2 Pa 0.2998 0.9958 0.6435
Pa3 Pa 0.7002 0.0042 0.3565
Pa4 Pa 0.9958 0.2998 0.1435
Al1 Al 0.3685 0.6315 0.2500
Al2 Al 0.6315 0.3685 0.7500
Re1 Re 0.2115 0.5170 0.4673
Re2 Re 0.4830 0.7885 0.0327
Re3 Re 0.5170 0.2115 0.9673
Re4 Re 0.7885 0.4830 0.5327
```

=====

# 3
DFT (PBE-GGA) results for an optimized crystal structure of SrMoSe.

Results
**Total magnetization**: 5.880 μB/f.u.
**Energy above the lowest structure with this stoichiometry**: 0.9499 eV per atom
**Space-group type**: F-43m, No. 216
**Crystal system**: cubic

Cell and atoms, written as CIF:
```
data_SrMoSe
_cell_length_a 5.2690
_cell_length_b 5.2690
_cell_length_c 5.2690
_cell_angle_alpha 60.00
_cell_angle_beta 60.00
_cell_angle_gamma 60.00
_space_group_name_H-M_alt 'P 1'
_space_group_IT_number 1
_space_group_name_Hall 'P 1'
loop_
_atom_site_label
_atom_site_type_symbol
_atom_site_fract_x
_atom_site_fract_y
_atom_site_fract_z
Sr1 Sr 0.0000 0.0000 0.0000
Mo1 Mo 0.7500 0.7500 0.7500
Se1 Se 0.2500 0.2500 0.2500
```

=====

# 4
DFT (PBE-GGA) results for an optimized crystal structure of SrTl2Cl.

Results
**Total magnetization**: 0.000 μB/f.u.
**Energy above the lowest structure with this stoichiometry**: 0.1311 eV per atom
**Space-group type**: Imm2, No. 44
**Crystal system**: orthorhombic

Cell and atoms, written as CIF:
```
data_SrTl2Cl
_cell_length_a 6.4986
_cell_length_b 6.4986
_cell_length_c 6.4986
_cell_angle_alpha 144.39
_cell_angle_beta 124.26
_cell_angle_gamma 67.92
_space_group_name_H-M_alt 'P 1'
_space_group_IT_number 1
_space_group_name_Hall 'P 1'
loop_
_atom_site_label
_atom_site_type_symbol
_atom_site_fract_x
_atom_site_fract_y
_atom_site_fract_z
Sr1 Sr 0.0000 0.0000 0.0000
Tl1 Tl 0.2714 0.7714 0.5000
Tl2 Tl 0.5468 0.5468 0.0000
Cl1 Cl 0.8120 0.3120 0.5000
```

=====

# 5
DFT (PBE-GGA) results for an optimized crystal structure of BaAlAsBr2.

Results
**Total magnetization**: 2.000 μB/f.u.
**Energy above the lowest structure with this stoichiometry**: 0.6802 eV per atom
**Space-group type**: P4/mmm, No. 123
**Crystal system**: tetragonal

Cell and atoms, written as CIF:
```
data_BaAlAsBr2
_cell_length_a 6.2231
_cell_length_b 6.2231
_cell_length_c 6.5355
_cell_angle_alpha 90.00
_cell_angle_beta 90.00
_cell_angle_gamma 90.00
_space_group_name_H-M_alt 'P 1'
_space_group_IT_number 1
_space_group_name_Hall 'P 1'
loop_
_atom_site_label
_atom_site_type_symbol
_atom_site_fract_x
_atom_site_fract_y
_atom_site_fract_z
Ba1 Ba 0.0000 0.0000 0.0000
Al1 Al 0.5000 0.5000 0.5000
As1 As 0.0000 0.0000 0.5000
Br1 Br 0.0000 0.5000 0.0000
Br2 Br 0.5000 0.0000 0.0000
```

=====

# 6
DFT (PBE-GGA) results for an optimized crystal structure of Mg2AlSe.

Results
**Total magnetization**: 0.000 μB/f.u.
**Energy above the lowest structure with this stoichiometry**: 0.1487 eV per atom
**Space-group type**: I-42d, No. 122
**Crystal system**: tetragonal

Cell and atoms, written as CIF:
```
data_Mg2AlSe
_cell_length_a 6.2188
_cell_length_b 6.2188
_cell_length_c 6.2188
_cell_angle_alpha 104.29
_cell_angle_beta 104.29
_cell_angle_gamma 120.42
_space_group_name_H-M_alt 'P 1'
_space_group_IT_number 1
_space_group_name_Hall 'P 1'
loop_
_atom_site_label
_atom_site_type_symbol
_atom_site_fract_x
_atom_site_fract_y
_atom_site_fract_z
Mg1 Mg 0.0934 0.6250 0.9684
Mg2 Mg 0.3750 0.3434 0.4684
Mg3 Mg 0.6566 0.1250 0.0316
Mg4 Mg 0.8750 0.9066 0.5316
Al1 Al 0.2500 0.7500 0.5000
Al2 Al 0.5000 0.5000 0.0000
Se1 Se 0.0000 0.0000 0.0000
Se2 Se 0.7500 0.2500 0.5000
```

=====

# 7
DFT (PBE-GGA) results for an optimized crystal structure of Pm3B2IrPt9.

Results
**Energy of formation from the pure elements**: -0.71 eV per atom
**Total magnetization**: 0.000 μB/f.u.
**Space-group type**: P-3m1, No. 164
**Crystal system**: trigonal

Cell and atoms, written as CIF:
```
data_Pm3B2IrPt9
_cell_length_a 5.7419
_cell_length_b 5.7419
_cell_length_c 9.5428
_cell_angle_alpha 90.00
_cell_angle_beta 90.00
_cell_angle_gamma 120.00
_space_group_name_H-M_alt 'P 1'
_space_group_IT_number 1
_space_group_name_Hall 'P 1'
loop_
_atom_site_label
_atom_site_type_symbol
_atom_site_fract_x
_atom_site_fract_y
_atom_site_fract_z
Pm1 Pm 0.0000 0.0000 0.0000
Pm2 Pm 0.3333 0.6667 0.5931
Pm3 Pm 0.6667 0.3333 0.4069
B1 B 0.3333 0.6667 0.1466
B2 B 0.6667 0.3333 0.8534
Ir1 Ir 0.0000 0.0000 0.5000
Pt1 Pt 0.0000 0.5000 0.0000
Pt2 Pt 0.1620 0.3239 0.2759
Pt3 Pt 0.1620 0.8380 0.2759
Pt4 Pt 0.3239 0.1620 0.7241
Pt5 Pt 0.5000 0.0000 0.0000
Pt6 Pt 0.5000 0.5000 0.0000
Pt7 Pt 0.6761 0.8380 0.2759
Pt8 Pt 0.8380 0.1620 0.7241
Pt9 Pt 0.8380 0.6761 0.7241
```

=====

# 8
DFT (PBE-GGA) results for an optimized crystal structure of Ce2PuBi.

Results
**Energy of formation from the pure elements**: -0.25 eV per atom
**Total magnetization**: 9.085 μB/f.u.
**Energy above the lowest structure with this stoichiometry**: 0.1180 eV per atom
**Space-group type**: Fm-3m, No. 225
**Crystal system**: cubic

Cell and atoms, written as CIF:
```
data_Ce2PuBi
_cell_length_a 5.4330
_cell_length_b 5.4330
_cell_length_c 5.4330
_cell_angle_alpha 60.00
_cell_angle_beta 60.00
_cell_angle_gamma 60.00
_space_group_name_H-M_alt 'P 1'
_space_group_IT_number 1
_space_group_name_Hall 'P 1'
loop_
_atom_site_label
_atom_site_type_symbol
_atom_site_fract_x
_atom_site_fract_y
_atom_site_fract_z
Ce1 Ce 0.2500 0.2500 0.2500
Ce2 Ce 0.7500 0.7500 0.7500
Pu1 Pu 0.0000 0.0000 0.0000
Bi1 Bi 0.5000 0.5000 0.5000
```